1.
AgSb2W: relaxed, PBE.

Unit cell a=3.4803 b=3.4803 c=6.8663 alpha=90.00 beta=90.00 gamma=90.00
Closest atoms and distances in Å follow each position.
Space group P4/mmm (No. 123)
One atom of each set of equivalent atoms:
Ag (0.0000, 0.0000, 0.0000) [1 per cell]  8 Sb 3.10, 2 W 3.43
Sb (0.5000, 0.5000, 0.2750) [2 per cell]  4 W 2.91, 1 Sb 3.09, 4 Ag 3.10
W (0.0000, 0.0000, 0.5000) [1 per cell]  8 Sb 2.91

Values from the calculation:
The density is 10.69 Mg/m³. The value obtained for the total magnetization is 0.000 μB per formula unit. As for the energy relative to the elements, uncorrected: 0.398 eV per atom. Its crystal system is tetragonal. As for the distance to the lowest polymorph of the same formula: 0.050 eV per atom.

2.
AgSb2W: relaxed, PBE.

Unit cell a=6.3882 b=6.3882 c=12.0313 alpha=90.00 beta=90.00 gamma=90.00
Closest atoms and distances in Å follow each position.
Space group I-42d (No. 122)
One atom of each set of equivalent atoms:
Ag (0.0000, 0.0000, 0.0000) [4 per cell]  4 Sb 2.80
Sb (0.2281, 0.2500, 0.6250) [8 per cell]  2 W 2.63, 2 Ag 2.80
W (0.0000, 0.0000, 0.5000) [4 per cell]  4 Sb 2.63

Values from the calculation:
The density is 7.24 Mg/m³. The value obtained for the total magnetization is 0.977 μB per formula unit. As for the energy relative to the elements, uncorrected: 0.798 eV per atom. Its crystal system is tetragonal. As for the distance to the lowest polymorph of the same formula: 0.450 eV per atom.

3.
AgSb2W: relaxed, PBE.

Unit cell a=4.1203 b=4.1203 c=9.7902 alpha=90.00 beta=90.00 gamma=90.00
Closest atoms and distances in Å follow each position.
Space group I-4m2 (No. 119)
One atom of each set of equivalent atoms:
Ag (0.0000, 0.0000, 0.0000) [2 per cell]  8 Sb 2.91-3.20, 4 W 3.20
Sb (0.0000, 0.0000, 0.5000) [2 per cell]  4 Ag 2.91, 4 W 3.20, 4 Sb 3.20
Sb (0.0000, 0.5000, 0.7500) [2 per cell]  4 W 2.91, 4 Sb 3.20, 4 Ag 3.20
W (0.0000, 0.5000, 0.2500) [2 per cell]  8 Sb 2.91-3.20, 4 Ag 3.20

Values from the calculation:
The density is 10.69 Mg/m³. The value obtained for the total magnetization is 1.052 μB per formula unit. As for the energy relative to the elements, uncorrected: 0.747 eV per atom. Its crystal system is tetragonal. As for the distance to the lowest polymorph of the same formula: 0.399 eV per atom.

4.
AgSb2W: relaxed, PBE.

Unit cell a=4.6099 b=3.4883 c=10.3883 alpha=90.00 beta=90.00 gamma=90.00
Closest atoms and distances in Å follow each position.
Space group Amm2 (No. 38)
One atom of each set of equivalent atoms:
Ag (0.0000, 0.0000, 0.0000) [2 per cell]  7 Sb 2.75-3.00, 2 W 2.88
Sb (0.0000, 0.0000, 0.7349) [2 per cell]  3 Ag 2.75-3.00, 4 W 2.98
Sb (0.5000, 0.0000, 0.4513) [2 per cell]  3 W 2.83-2.96, 4 Ag 2.93
W (0.5000, 0.0000, 0.1660) [2 per cell]  7 Sb 2.83-2.98, 2 Ag 2.88

Values from the calculation:
The density is 10.64 Mg/m³. The value obtained for the total magnetization is 0.000 μB per formula unit. As for the energy relative to the elements, uncorrected: 0.471 eV per atom. Its crystal system is orthorhombic. As for the distance to the lowest polymorph of the same formula: 0.123 eV per atom.

5.
Ag2SbW: relaxed, PBE.

Unit cell a=2.9432 b=2.9432 c=9.3129 alpha=90.00 beta=90.00 gamma=90.00
Closest atoms and distances in Å follow each position.
Space group P4mm (No. 99)
One atom of each set of equivalent atoms:
Ag (0.0000, 0.0000, 0.0000) [1 per cell]  4 W 2.93, 8 Ag 2.94-2.95
Ag (0.5000, 0.5000, 0.2246) [1 per cell]  8 Ag 2.94-2.95
Sb (0.0000, 0.0000, 0.5536) [1 per cell]  4 Sb 2.94, 4 W 2.96
W (0.5000, 0.5000, 0.7792) [1 per cell]  4 Ag 2.93, 4 W 2.94, 4 Sb 2.96

Values from the calculation:
The density is 10.73 Mg/m³. The value obtained for the total magnetization is 0.000 μB per formula unit. As for the energy relative to the elements, uncorrected: 0.561 eV per atom. Its crystal system is tetragonal.

6.
Ag2SbW: relaxed, PBE.

Unit cell a=2.9048 b=4.5794 c=5.6983 alpha=90.00 beta=90.00 gamma=90.00
Closest atoms and distances in Å follow each position.
Space group Pmmm (No. 47)
One atom of each set of equivalent atoms:
Ag (0.0000, 0.0000, 0.2349) [2 per cell]  3 Ag 2.68-2.90
Sb (0.5000, 0.5000, 0.5000) [1 per cell]  2 W 2.85, 2 Sb 2.90, 8 Ag 3.10
W (0.5000, 0.5000, 0.0000) [1 per cell]  2 Sb 2.85, 2 W 2.90, 8 Ag 3.02

Values from the calculation:
The density is 11.42 Mg/m³. The value obtained for the total magnetization is 0.003 μB per formula unit. As for the energy relative to the elements, uncorrected: 0.679 eV per atom. Its crystal system is orthorhombic.